## Sr3Bi2Au4 (PBE-GGA)

Data for a geometry-optimized Sr3Bi2Au4 structure.

Values from the calculation:
Its formation energy is -0.7164 eV/atom. The space-group type is C2/m. The total energy comes out at -3.596 eV per atom.

```
Sr3Bi2Au4
1.0
4.828 0.000 0.000
-2.414 5.736 -1.774
0.000 -0.347 9.570
Sr Au Bi
3 4 2
direct
0.341 0.682 0.326
0.000 0.000 0.000
0.659 0.318 0.674
0.057 0.114 0.398
0.276 0.552 0.949
0.724 0.448 0.051
0.943 0.886 0.602
0.383 0.766 0.718
0.617 0.234 0.282
```


## HgOs3 (PBE-GGA)

Data for a geometry-optimized HgOs3 structure.

Values from the calculation:
Its formation energy is 1.1129 eV/atom. The space-group type is Fm-3m. The total energy comes out at -7.385 eV per atom. The value obtained for the distance to the lowest polymorph of the same formula is 0.720 eV per atom.

```
HgOs3
1.0
4.492 0.000 0.000
2.246 3.890 0.000
2.246 1.297 3.667
Hg Os
1 3
direct
0.000 0.000 0.000
0.250 0.250 0.250
0.750 0.750 0.750
0.500 0.500 0.500
```


## Er2BeGePd6 (PBE-GGA)

Data for a geometry-optimized Er2BeGePd6 structure.

Values from the calculation:
Its formation energy is -0.6742 eV/atom. The space-group type is P-1. The total energy comes out at -5.537 eV per atom.

```
Er2BeGePd6
1.0
-0.683 5.250 -2.190
-0.304 -2.854 -6.601
-4.723 1.321 -2.866
Pd Be Er Ge
6 1 2 1
direct
0.832 0.339 0.842
0.168 0.661 0.158
0.676 0.659 0.160
0.719 0.790 0.568
0.324 0.341 0.840
0.281 0.210 0.432
0.500 0.500 0.000
0.222 0.780 0.560
0.778 0.220 0.440
0.000 0.000 0.000
```


## PmSn5Ir3 (PBE-GGA)

Data for a geometry-optimized PmSn5Ir3 structure.

Values from the calculation:
Its formation energy is -0.2843 eV/atom. The space-group type is C2/m. The total energy comes out at -5.990 eV per atom.

```
PmSn5Ir3
1.0
-6.585 -1.181 3.401
0.553 -6.417 3.853
0.676 1.748 9.567
Sn Ir Pm
10 6 2
direct
0.236 0.236 0.958
0.051 0.637 0.674
0.300 0.700 0.000
0.363 0.949 0.326
0.700 0.300 0.000
0.416 0.416 0.358
0.949 0.363 0.326
0.637 0.051 0.674
0.584 0.584 0.642
0.764 0.764 0.042
0.000 0.000 0.000
0.637 0.637 0.349
0.363 0.363 0.651
0.000 0.000 0.500
0.325 0.325 0.161
0.675 0.675 0.839
0.114 0.114 0.693
0.886 0.886 0.307
```